Entry 1:
Density functional theory data (GGA-PBE) for an optimized crystal structure of BaScBe2.

Values from the calculation:
Polymorph energy (0 for the lowest one) in eV/atom: 0.340
Energy of formation in eV per atom: 0.5833

abc: 5.109 5.109 3.330
angles: 90.00 90.00 90.00
Space group P4/mmm (No. 123)
Asymmetric unit:
Ba 0.000 0.000 0.000
Sc 0.500 0.500 0.000
Be 0.000 0.500 0.500

Entry 2:
Density functional theory data (GGA-PBE) for an optimized crystal structure of TiMnSiNi.

Values from the calculation:
Formation energy without anion corrections in eV/atom: -0.502

abc: 5.775 5.775 5.775
angles: 90.00 90.00 90.00
Space group F-43m (No. 216)
Asymmetric unit:
Ti 0.000 0.000 0.000
Mn 0.250 0.250 0.750
Si 0.000 0.000 0.500
Ni 0.250 0.250 0.250

Entry 3:
Density functional theory data (GGA-PBE) for an optimized crystal structure of LiPuZnIr.

Values from the calculation:
Energy of formation in eV per atom: -0.2193

abc: 6.568 6.568 6.568
angles: 90.00 90.00 90.00
Space group F-43m (No. 216)
Asymmetric unit:
Li 0.000 0.000 0.000
Pu 0.250 0.250 0.250
Zn 0.250 0.250 0.750
Ir 0.000 0.000 0.500

Entry 4:
Density functional theory data (GGA-PBE) for an optimized crystal structure of HoAg2Sn.

Values from the calculation:
Energy of formation in eV per atom: -0.3028

abc: 4.444 4.444 4.500
angles: 90.00 90.00 90.00
Space group P4/mmm (No. 123)
Asymmetric unit:
Ho 0.000 0.000 0.000
Ag 0.000 0.500 0.500
Sn 0.500 0.500 0.000

Entry 5:
Density functional theory data (GGA-PBE) for an optimized crystal structure of Sr3U3CuAs8.

Values from the calculation:
Energy of formation in eV per atom: -0.5793

abc: 14.162 8.235 8.632
angles: 90.00 122.98 90.00
Space group C2/m (No. 12)
Asymmetric unit:
Sr 0.000 0.000 0.000
Sr 0.250 0.250 0.000
U 0.000 0.500 0.500
U 0.250 0.250 0.500
Cu 0.000 0.000 0.500
As 0.015 0.255 0.288
As 0.220 0.000 0.695
As 0.240 0.500 0.719

Entry 6:
Density functional theory data (GGA-PBE) for an optimized crystal structure of SrLi5Tl7.

Values from the calculation:
Energy of formation in eV per atom: -0.2225

abc: 6.084 10.205 10.086
angles: 90.00 90.00 90.00
Space group Imm2 (No. 44)
Asymmetric unit:
Sr 0.000 0.000 0.000
Li 0.000 0.500 0.261
Li 0.241 0.253 0.742
Tl 0.000 0.000 0.347
Tl 0.000 0.000 0.658
Tl 0.000 0.300 0.477
Tl 0.000 0.341 0.010
Tl 0.000 0.500 0.725